Record 1
A plane-wave DFT calculation with PBE-GGA was carried out for a relaxed structure of ZnO.

SG ... Fm-3m, No. 225
Electronic total energy ... -4.4004 eV/atom

POSCAR file:
```
ZnO
1.0
0.0000 2.1505 2.1505
2.1505 0.0000 2.1505
2.1505 2.1505 0.0000
O Zn
1 1
direct
0.0000 0.0000 0.0000
0.5000 0.5000 0.5000
```

Record 2
A plane-wave DFT calculation with PBE-GGA was carried out for a relaxed structure of LiSiNiHg.

SG ... F-43m, No. 216
Polymorph energy (0 for the lowest one) ... 0.0000 eV per atom
Electronic total energy ... -3.3650 eV/atom

POSCAR file:
```
LiSiNiHg
1.0
0.0000 3.0574 3.0574
3.0574 0.0000 3.0574
3.0574 3.0574 0.0000
Li Si Ni Hg
1 1 1 1
direct
0.2500 0.2500 0.2500
0.0000 0.0000 0.0000
0.7500 0.7500 0.7500
0.5000 0.5000 0.5000
```

Record 3
A plane-wave DFT calculation with PBE-GGA was carried out for a relaxed structure of LuInFeRe.

SG ... F-43m, No. 216
Electronic total energy ... -6.6070 eV/atom

POSCAR file:
```
LuInFeRe
1.0
-0.8821 1.4236 4.3608
1.8076 4.0164 1.5565
-2.7793 3.6814 0.7380
In Fe Re Lu
1 1 1 1
direct
0.0000 0.0000 0.0000
0.7500 0.7500 0.7500
0.5000 0.5000 0.5000
0.2500 0.2500 0.2500
```

Record 4
A plane-wave DFT calculation with PBE-GGA was carried out for a relaxed structure of LiBeCuSb.

SG ... F-43m, No. 216
Polymorph energy (0 for the lowest one) ... 0.0000 eV per atom
Electronic total energy ... -3.2645 eV/atom

POSCAR file:
```
LiBeCuSb
1.0
0.0001 3.0833 3.0833
3.0833 0.0001 3.0833
3.0833 3.0833 0.0001
Sb Be Li Cu
1 1 1 1
direct
0.0000 0.0000 0.0000
0.2500 0.2500 0.2500
0.7500 0.7500 0.7500
0.5000 0.5000 0.5000
```

Record 5
A plane-wave DFT calculation with PBE-GGA was carried out for a relaxed structure of TcCl2.

SG ... Fm-3m, No. 225
Polymorph energy (0 for the lowest one) ... 0.4240 eV per atom
Electronic total energy ... -4.4692 eV/atom

POSCAR file:
```
TcCl2
1.0
-1.5962 0.7582 3.8345
-1.9009 3.6830 0.8049
-4.1831 0.1396 0.5555
Cl Tc
2 1
direct
0.7500 0.7500 0.7500
0.2500 0.2500 0.2500
0.0000 0.0000 0.0000
```

Record 6
A plane-wave DFT calculation with PBE-GGA was carried out for a relaxed structure of Y4Hf2Fe3N3.

SG ... C2/c, No. 15
Electronic total energy ... -8.6837 eV/atom

POSCAR file:
```
Y4Hf2Fe3N3
1.0
0.9516 5.4601 1.6958
-4.4752 3.5546 0.9655
0.8493 -7.2587 12.6293
Fe N Hf Y
6 6 4 8
direct
0.6415 0.3585 0.2500
0.3585 0.6415 0.7500
0.8124 0.4150 0.7496
0.5850 0.1876 0.7504
0.1876 0.5850 0.2504
0.4150 0.8124 0.2496
0.3446 0.8103 0.9999
0.8103 0.3446 0.4999
0.5000 0.0000 0.5000
0.1897 0.6554 0.5001
0.0000 0.5000 0.0000
0.6554 0.1897 0.0001
0.3479 0.5268 0.0781
0.6521 0.4732 0.9219
0.5268 0.3479 0.5781
0.4732 0.6521 0.4219
0.7019 0.8778 0.1079
0.0424 0.1960 0.1078
0.8778 0.7019 0.6079
0.2981 0.1222 0.8921
0.1222 0.2981 0.3921
0.8040 0.9576 0.3922
0.9576 0.8040 0.8922
0.1960 0.0424 0.6078
```

Record 7
A plane-wave DFT calculation with PBE-GGA was carried out for a relaxed structure of TbTm2Mg3Ir2Pt.

SG ... Amm2, No. 38
Electronic total energy ... -5.4621 eV/atom

POSCAR file:
```
TbTm2Mg3Ir2Pt
1.0
-3.2091 -1.6832 -1.7394
4.3891 -3.8119 -4.4090
-2.0328 -2.7740 6.4348
Ir Mg Tm Tb Pt
2 3 2 1 1
direct
0.5000 0.3319 0.6696
0.5000 0.6696 0.3319
0.5000 0.2485 0.9989
0.5000 0.9989 0.2485
0.5000 0.7519 0.7519
0.0000 0.5886 0.9998
0.0000 0.9998 0.5886
0.0000 0.4140 0.4140
0.0000 0.9968 0.9968
```

Record 8
A plane-wave DFT calculation with PBE-GGA was carried out for a relaxed structure of TaBeAl.

SG ... F-43m, No. 216
Polymorph energy (0 for the lowest one) ... 1.1781 eV per atom
Electronic total energy ... -5.5793 eV/atom

POSCAR file:
```
TaBeAl
1.0
0.0000 2.9915 2.9915
2.9915 0.0000 2.9915
2.9915 2.9915 0.0000
Be Al Ta
1 1 1
direct
0.7500 0.7500 0.7500
0.2500 0.2500 0.2500
0.0000 0.0000 0.0000
```

Record 9
A plane-wave DFT calculation with PBE-GGA was carried out for a relaxed structure of ScNbZnNi.

SG ... F-43m, No. 216
Polymorph energy (0 for the lowest one) ... 0.0000 eV per atom
Electronic total energy ... -5.7142 eV/atom

POSCAR file:
```
ScNbZnNi
1.0
0.0000 3.1741 3.1741
3.1741 0.0000 3.1741
3.1741 3.1741 0.0000
Zn Ni Nb Sc
1 1 1 1
direct
0.0000 0.0000 0.0000
0.7500 0.7500 0.7500
0.5000 0.5000 0.5000
0.2500 0.2500 0.2500
```

Record 10
A plane-wave DFT calculation with PBE-GGA was carried out for a relaxed structure of AcScHg.

SG ... F-43m, No. 216
Polymorph energy (0 for the lowest one) ... 0.0000 eV per atom
Electronic total energy ... -3.5819 eV/atom

POSCAR file:
```
AcScHg
1.0
2.3567 1.4970 4.4186
-1.2140 -2.3184 4.5244
3.4505 -3.1648 2.3232
Sc Ac Hg
1 1 1
direct
0.7500 0.7500 0.7500
0.2500 0.2500 0.2500
0.0000 0.0000 0.0000
```

Record 11
A plane-wave DFT calculation with PBE-GGA was carried out for a relaxed structure of ThScSb.

SG ... F-43m, No. 216
Electronic total energy ... -6.2053 eV/atom

POSCAR file:
```
ThScSb
1.0
0.0000 3.5761 3.5761
3.5761 0.0000 3.5761
3.5761 3.5761 0.0000
Sb Th Sc
1 1 1
direct
0.0000 0.0000 0.0000
0.7500 0.7500 0.7500
0.2500 0.2500 0.2500
```

Record 12
A plane-wave DFT calculation with PBE-GGA was carried out for a relaxed structure of La3Tc2N6.

SG ... I4/mmm, No. 139
Electronic total energy ... -8.6567 eV/atom

POSCAR file:
```
La3Tc2N6
1.0
-1.4811 -7.6891 6.7493
-3.3871 -3.0981 9.2627
-0.0927 4.9345 -9.0836
Tc La N
2 3 6
direct
0.5933 0.5933 0.0000
0.4067 0.4067 0.0000
0.8157 0.8157 0.0000
0.0000 0.0000 0.0000
0.1843 0.1843 0.0000
0.5872 0.0872 0.5000
0.0872 0.5872 0.5000
0.6974 0.6974 0.0000
0.9128 0.4128 0.5000
0.4128 0.9128 0.5000
0.3026 0.3026 0.0000
```